Entry P
Material: Ba2TiCl
Method: DFT, PBE
State: optimized geometry

Size of the total moment   17.32 μB per cell
ρ   3.37 Mg/m³
Volume   706 Å³/cell

The structure in CIF format:
```
data_Ba2TiCl
_chemical_formula_sum 'Ba8 Ti4 Cl4'
_cell_length_a 8.913
_cell_length_b 8.913
_cell_length_c 8.881
_cell_angle_alpha 90.00
_cell_angle_beta 90.00
_cell_angle_gamma 90.00
_symmetry_space_group_name_H-M 'I -4 2 d'
_symmetry_Int_Tables_number 122
_symmetry_space_group_name_Hall 'I -4 2bw'
loop_
_atom_site_label
_atom_site_type_symbol
_atom_site_fract_x
_atom_site_fract_y
_atom_site_fract_z
_atom_site_occupancy
Ba1 Ba 0.204 0.750 0.125 1
Ti1 Ti 0.000 0.000 0.500 1
Cl1 Cl 0.000 0.000 0.000 1
```

---

Entry Q
Material: Ba2TiCl
Method: DFT, PBE
State: optimized geometry

Size of the total moment   1.94 μB per cell
ρ   3.99 Mg/m³
Volume   595 Å³/cell

The structure in CIF format:
```
data_Ba2TiCl
_chemical_formula_sum 'Ba8 Ti4 Cl4'
_cell_length_a 8.412
_cell_length_b 8.412
_cell_length_c 8.412
_cell_angle_alpha 90.00
_cell_angle_beta 90.00
_cell_angle_gamma 90.00
_symmetry_space_group_name_H-M 'F m -3 m'
_symmetry_Int_Tables_number 225
_symmetry_space_group_name_Hall '-F 4 2 3'
loop_
_atom_site_label
_atom_site_type_symbol
_atom_site_fract_x
_atom_site_fract_y
_atom_site_fract_z
_atom_site_occupancy
Ba1 Ba 0.250 0.250 0.250 1
Ti1 Ti 0.000 0.000 0.000 1
Cl1 Cl 0.000 0.000 0.500 1
```

---

Winner for stability: entry P

---

Entry P
Material: BaTiCl3
Method: DFT, PBE
State: optimized geometry

Size of the total moment   2.81 μB per cell
ρ   3.78 Mg/m³
Volume   128 Å³/cell

The structure in CIF format:
```
data_BaTiCl3
_chemical_formula_sum 'Ba1 Ti1 Cl3'
_cell_length_a 5.040
_cell_length_b 5.040
_cell_length_c 5.040
_cell_angle_alpha 90.00
_cell_angle_beta 90.00
_cell_angle_gamma 90.00
_symmetry_space_group_name_H-M 'P m -3 m'
_symmetry_Int_Tables_number 221
_symmetry_space_group_name_Hall '-P 4 2 3'
loop_
_atom_site_label
_atom_site_type_symbol
_atom_site_fract_x
_atom_site_fract_y
_atom_site_fract_z
_atom_site_occupancy
Ba1 Ba 0.000 0.000 0.000 1
Ti1 Ti 0.500 0.500 0.500 1
Cl1 Cl 0.000 0.500 0.500 1
```

---

Entry Q
Material: BaTiCl3
Method: DFT, PBE
State: optimized geometry

Size of the total moment   3.00 μB per cell
ρ   2.29 Mg/m³
Volume   212 Å³/cell

The structure in CIF format:
```
data_BaTiCl3
_chemical_formula_sum 'Ba1 Ti1 Cl3'
_cell_length_a 5.961
_cell_length_b 5.961
_cell_length_c 5.961
_cell_angle_alpha 90.00
_cell_angle_beta 90.00
_cell_angle_gamma 90.00
_symmetry_space_group_name_H-M 'P m -3 m'
_symmetry_Int_Tables_number 221
_symmetry_space_group_name_Hall '-P 4 2 3'
loop_
_atom_site_label
_atom_site_type_symbol
_atom_site_fract_x
_atom_site_fract_y
_atom_site_fract_z
_atom_site_occupancy
Ba1 Ba 0.000 0.000 0.000 1
Ti1 Ti 0.500 0.500 0.500 1
Cl1 Cl 0.000 0.000 0.500 1
```

---

Winner for stability: entry P

---

Entry P
Material: BaTlCl2
Method: DFT, PBE
State: optimized geometry

Size of the total moment   0.12 μB per cell
ρ   3.71 Mg/m³
Volume   554 Å³/cell

The structure in CIF format:
```
data_BaTlCl2
_chemical_formula_sum 'Ba3 Tl3 Cl6'
_cell_length_a 4.7154
_cell_length_b 4.7154
_cell_length_c 28.7746
_cell_angle_alpha 90.00
_cell_angle_beta 90.00
_cell_angle_gamma 120.00
_symmetry_space_group_name_H-M 'R -3 m'
_symmetry_Int_Tables_number 166
_symmetry_space_group_name_Hall '-R 3 2"'
loop_
_atom_site_label
_atom_site_type_symbol
_atom_site_fract_x
_atom_site_fract_y
_atom_site_fract_z
_atom_site_occupancy
Ba1 Ba 0.0000 0.0000 0.0000 1
Tl1 Tl 0.0000 0.0000 0.5000 1
Cl1 Cl 0.0000 0.0000 0.3829 1
```

---

Entry Q
Material: BaTlCl2
Method: DFT, PBE
State: optimized geometry

Size of the total moment   1.73 μB per cell
ρ   4.36 Mg/m³
Volume   314 Å³/cell

The structure in CIF format:
```
data_BaTlCl2
_chemical_formula_sum 'Ba2 Tl2 Cl4'
_cell_length_a 6.201
_cell_length_b 5.394
_cell_length_c 9.385
_cell_angle_alpha 90.00
_cell_angle_beta 90.00
_cell_angle_gamma 90.00
_symmetry_space_group_name_H-M 'A m m 2'
_symmetry_Int_Tables_number 38
loop_
_symmetry_equiv_pos_as_xyz
'x,y,z'
'-x,-y,z'
'-x,y,z'
'x,-y,z'
'x,y+1/2,z+1/2'
'-x,-y+1/2,z+1/2'
'-x,y+1/2,z+1/2'
'x,-y+1/2,z+1/2'
loop_
_atom_site_label
_atom_site_type_symbol
_atom_site_fract_x
_atom_site_fract_y
_atom_site_fract_z
_atom_site_occupancy
Ba1 Ba 0.000 0.000 0.000 1
Tl1 Tl 0.500 0.000 0.665 1
Cl1 Cl 0.000 0.000 0.333 1
Cl2 Cl 0.500 0.000 0.998 1
```

---

Entry R
Material: BaTlCl2
Method: DFT, PBE
State: optimized geometry

Size of the total moment   0.00 μB per cell
ρ   4.55 Mg/m³
Volume   301 Å³/cell

The structure in CIF format:
```
data_BaTlCl2
_chemical_formula_sum 'Ba2 Tl2 Cl4'
_cell_length_a 7.684
_cell_length_b 8.901
_cell_length_c 5.480
_cell_angle_alpha 90.00
_cell_angle_beta 126.60
_cell_angle_gamma 90.00
_symmetry_space_group_name_H-M 'C 1 2/m 1'
_symmetry_Int_Tables_number 12
loop_
_symmetry_equiv_pos_as_xyz
'x,y,z'
'-x,-y,-z'
'-x,y,-z'
'x,-y,z'
'x+1/2,y+1/2,z'
'-x+1/2,-y+1/2,-z'
'-x+1/2,y+1/2,-z'
'x+1/2,-y+1/2,z'
loop_
_atom_site_label
_atom_site_type_symbol
_atom_site_fract_x
_atom_site_fract_y
_atom_site_fract_z
_atom_site_occupancy
Ba1 Ba 0.000 0.000 0.000 1
Tl1 Tl 0.000 0.500 0.000 1
Cl1 Cl 0.250 0.250 0.500 1
```

---

Entry S
Material: BaTlCl2
Method: DFT, PBE
State: optimized geometry

Size of the total moment   1.63 μB per cell
ρ   4.91 Mg/m³
Volume   279 Å³/cell

The structure in CIF format:
```
data_BaTlCl2
_chemical_formula_sum 'Ba2 Tl2 Cl4'
_cell_length_a 4.206
_cell_length_b 4.666
_cell_length_c 14.234
_cell_angle_alpha 90.00
_cell_angle_beta 90.00
_cell_angle_gamma 90.00
_symmetry_space_group_name_H-M 'I m m 2'
_symmetry_Int_Tables_number 44
loop_
_symmetry_equiv_pos_as_xyz
'x,y,z'
'-x,-y,z'
'-x,y,z'
'x,-y,z'
'x+1/2,y+1/2,z+1/2'
'-x+1/2,-y+1/2,z+1/2'
'-x+1/2,y+1/2,z+1/2'
'x+1/2,-y+1/2,z+1/2'
loop_
_atom_site_label
_atom_site_type_symbol
_atom_site_fract_x
_atom_site_fract_y
_atom_site_fract_z
_atom_site_occupancy
Ba1 Ba 0.000 0.000 0.000 1
Tl1 Tl 0.000 0.500 0.229 1
Cl1 Cl 0.000 0.000 0.451 1
Cl2 Cl 0.000 0.500 0.662 1
```

---

Winner for stability: entry P

---

Entry P
Material: BaTlCl2
Method: DFT, PBE
State: optimized geometry

Size of the total moment   0.55 μB per cell
ρ   5.50 Mg/m³
Volume   125 Å³/cell

The structure in CIF format:
```
data_BaTlCl2
_chemical_formula_sum 'Ba1 Tl1 Cl2'
_cell_length_a 4.513
_cell_length_b 4.570
_cell_length_c 6.040
_cell_angle_alpha 90.00
_cell_angle_beta 90.00
_cell_angle_gamma 90.00
_symmetry_space_group_name_H-M 'P m m m'
_symmetry_Int_Tables_number 47
loop_
_symmetry_equiv_pos_as_xyz
'x,y,z'
'-x,-y,-z'
'-x,-y,z'
'x,y,-z'
'x,-y,-z'
'-x,y,z'
'-x,y,-z'
'x,-y,z'
loop_
_atom_site_label
_atom_site_type_symbol
_atom_site_fract_x
_atom_site_fract_y
_atom_site_fract_z
_atom_site_occupancy
Ba1 Ba 0.000 0.000 0.000 1
Tl1 Tl 0.000 0.500 0.500 1
Cl1 Cl 0.500 0.000 0.500 1
Cl2 Cl 0.500 0.500 0.000 1
```

---

Entry Q
Material: BaTlCl2
Method: DFT, PBE
State: optimized geometry

Size of the total moment   1.12 μB per cell
ρ   5.68 Mg/m³
Volume   483 Å³/cell

The structure in CIF format:
```
data_BaTlCl2
_chemical_formula_sum 'Ba4 Tl4 Cl8'
_cell_length_a 7.845
_cell_length_b 7.845
_cell_length_c 7.845
_cell_angle_alpha 90.00
_cell_angle_beta 90.00
_cell_angle_gamma 90.00
_symmetry_space_group_name_H-M 'F m -3 m'
_symmetry_Int_Tables_number 225
_symmetry_space_group_name_Hall '-F 4 2 3'
loop_
_atom_site_label
_atom_site_type_symbol
_atom_site_fract_x
_atom_site_fract_y
_atom_site_fract_z
_atom_site_occupancy
Ba1 Ba 0.000 0.000 0.000 1
Tl1 Tl 0.000 0.000 0.500 1
Cl1 Cl 0.250 0.250 0.250 1
```

---

Winner for stability: entry P

---

Entry P
Material: BaTlCl2
Method: DFT, PBE
State: optimized geometry

Size of the total moment   0.00 μB per cell
ρ   4.81 Mg/m³
Volume   142 Å³/cell

The structure in CIF format:
```
data_BaTlCl2
_chemical_formula_sum 'Ba1 Tl1 Cl2'
_cell_length_a 3.881
_cell_length_b 3.821
_cell_length_c 9.602
_cell_angle_alpha 90.00
_cell_angle_beta 90.05
_cell_angle_gamma 90.00
_symmetry_space_group_name_H-M 'P 1 2/m 1'
_symmetry_Int_Tables_number 10
loop_
_symmetry_equiv_pos_as_xyz
'x,y,z'
'-x,-y,-z'
'-x,y,-z'
'x,-y,z'
loop_
_atom_site_label
_atom_site_type_symbol
_atom_site_fract_x
_atom_site_fract_y
_atom_site_fract_z
_atom_site_occupancy
Ba1 Ba 0.000 0.000 0.000 1
Tl1 Tl 0.500 0.000 0.500 1
Cl1 Cl 0.500 0.500 0.176 1
```

---

Entry Q
Material: BaTlCl2
Method: DFT, PBE
State: optimized geometry

Size of the total moment   0.00 μB per cell
ρ   4.56 Mg/m³
Volume   150 Å³/cell

The structure in CIF format:
```
data_BaTlCl2
_chemical_formula_sum 'Ba1 Tl1 Cl2'
_cell_length_a 3.824
_cell_length_b 3.824
_cell_length_c 10.277
_cell_angle_alpha 90.00
_cell_angle_beta 90.00
_cell_angle_gamma 90.00
_symmetry_space_group_name_H-M 'P 4/m m m'
_symmetry_Int_Tables_number 123
_symmetry_space_group_name_Hall '-P 4 2'
loop_
_atom_site_label
_atom_site_type_symbol
_atom_site_fract_x
_atom_site_fract_y
_atom_site_fract_z
_atom_site_occupancy
Ba1 Ba 0.000 0.000 0.000 1
Tl1 Tl 0.000 0.000 0.500 1
Cl1 Cl 0.500 0.500 0.166 1
```

---

Entry R
Material: BaTlCl2
Method: DFT, PBE
State: optimized geometry

Size of the total moment   0.00 μB per cell
ρ   3.66 Mg/m³
Volume   562 Å³/cell

The structure in CIF format:
```
data_BaTlCl2
_chemical_formula_sum 'Ba3 Tl3 Cl6'
_cell_length_a 4.8110
_cell_length_b 4.8110
_cell_length_c 28.0127
_cell_angle_alpha 90.00
_cell_angle_beta 90.00
_cell_angle_gamma 120.00
_symmetry_space_group_name_H-M 'R -3 m'
_symmetry_Int_Tables_number 166
_symmetry_space_group_name_Hall '-R 3 2"'
loop_
_atom_site_label
_atom_site_type_symbol
_atom_site_fract_x
_atom_site_fract_y
_atom_site_fract_z
_atom_site_occupancy
Ba1 Ba 0.0000 0.0000 0.0000 1
Tl1 Tl 0.0000 0.0000 0.5000 1
Cl1 Cl 0.0000 0.0000 0.1048 1
```

---

Winner for stability: entry P

---

Entry P
Material: BaTlCl2
Method: DFT, PBE
State: optimized geometry

Size of the total moment   1.00 μB per cell
ρ   5.15 Mg/m³
Volume   133 Å³/cell

The structure in CIF format:
```
data_BaTlCl2
_chemical_formula_sum 'Ba1 Tl1 Cl2'
_cell_length_a 4.490
_cell_length_b 4.582
_cell_length_c 6.463
_cell_angle_alpha 90.00
_cell_angle_beta 90.00
_cell_angle_gamma 90.00
_symmetry_space_group_name_H-M 'P m m 2'
_symmetry_Int_Tables_number 25
loop_
_symmetry_equiv_pos_as_xyz
'x,y,z'
'-x,-y,z'
'-x,y,z'
'x,-y,z'
loop_
_atom_site_label
_atom_site_type_symbol
_atom_site_fract_x
_atom_site_fract_y
_atom_site_fract_z
_atom_site_occupancy
Ba1 Ba 0.000 0.000 0.000 1
Tl1 Tl 0.500 0.500 0.617 1
Cl1 Cl 0.000 0.000 0.474 1
Cl2 Cl 0.500 0.500 0.114 1
```

---

Entry Q
Material: BaTlCl2
Method: DFT, PBE
State: optimized geometry

Size of the total moment   1.42 μB per cell
ρ   5.50 Mg/m³
Volume   499 Å³/cell

The structure in CIF format:
```
data_BaTlCl2
_chemical_formula_sum 'Ba4 Tl4 Cl8'
_cell_length_a 7.930
_cell_length_b 7.930
_cell_length_c 7.930
_cell_angle_alpha 90.00
_cell_angle_beta 90.00
_cell_angle_gamma 90.00
_symmetry_space_group_name_H-M 'F -4 3 m'
_symmetry_Int_Tables_number 216
_symmetry_space_group_name_Hall 'F -4 2 3'
loop_
_atom_site_label
_atom_site_type_symbol
_atom_site_fract_x
_atom_site_fract_y
_atom_site_fract_z
_atom_site_occupancy
Ba1 Ba 0.000 0.000 0.000 1
Tl1 Tl 0.250 0.250 0.250 1
Cl1 Cl 0.000 0.000 0.500 1
Cl2 Cl 0.250 0.250 0.750 1
```

---

Entry R
Material: BaTlCl2
Method: DFT, PBE
State: optimized geometry

Size of the total moment   2.81 μB per cell
ρ   3.38 Mg/m³
Volume   810 Å³/cell

The structure in CIF format:
```
data_BaTlCl2
_chemical_formula_sum 'Ba4 Tl4 Cl8'
_cell_length_a 7.375
_cell_length_b 7.375
_cell_length_c 14.887
_cell_angle_alpha 90.00
_cell_angle_beta 90.00
_cell_angle_gamma 90.00
_symmetry_space_group_name_H-M 'I -4 2 d'
_symmetry_Int_Tables_number 122
_symmetry_space_group_name_Hall 'I -4 2bw'
loop_
_atom_site_label
_atom_site_type_symbol
_atom_site_fract_x
_atom_site_fract_y
_atom_site_fract_z
_atom_site_occupancy
Ba1 Ba 0.000 0.000 0.000 1
Tl1 Tl 0.000 0.000 0.500 1
Cl1 Cl 0.191 0.250 0.125 1
```

---

Winner for stability: entry P